VASP calculation (PBE) on crystalline TeMoRh3 at its relaxed geometry.

a b c (Å): 4.7397 4.7397 4.7397
angles (deg): 90.00 90.00 90.00
With the nearest neighbours (Å) after each atom.
Element x y z (fractional)
Mo (0.5000, 0.5000, 0.5000)  12 Rh 3.35
Rh (0.0000, 0.0000, 0.5000)  2 Te 2.37
Rh (0.0000, 0.5000, 0.0000)  2 Te 2.37
Rh (0.5000, 0.0000, 0.0000)  2 Te 2.37
Te (0.0000, 0.0000, 0.0000)  6 Rh 2.37

Properties
E in eV/atom: -5.7184
Raw formation energy in eV per atom: 1.487
Relative energy among the computed polymorphs in meV/atom: 508

=====

VASP calculation (PBE) on crystalline Pm2Ga8Au at its relaxed geometry.

a b c (Å): 4.4440 4.4440 11.3936
angles (deg): 90.00 90.00 90.00
With the nearest neighbours (Å) after each atom.
Element x y z (fractional)
Ga (0.5000, 0.0000, 0.1306)  2 Au 2.67, 1 Ga 2.98
Ga (0.5000, 0.0000, 0.8694)  2 Au 2.67, 1 Ga 2.98
Ga (0.0000, 0.5000, 0.8694)  2 Au 2.67, 1 Ga 2.98
Ga (0.0000, 0.5000, 0.5000)  4 Pm 3.10, 8 Ga 3.12-3.14
Ga (0.0000, 0.5000, 0.1306)  2 Au 2.67, 1 Ga 2.98
Ga (0.5000, 0.0000, 0.5000)  4 Pm 3.10, 8 Ga 3.12-3.14
Ga (0.5000, 0.5000, 0.6928)  8 Ga 3.00-3.12, 4 Pm 3.14
Ga (0.5000, 0.5000, 0.3072)  8 Ga 3.00-3.12, 4 Pm 3.14
Au (0.0000, 0.0000, 0.0000)  8 Ga 2.67
Pm (0.0000, 0.0000, 0.3106)  12 Ga 3.02-3.14
Pm (0.0000, 0.0000, 0.6894)  12 Ga 3.02-3.14

Properties
E in eV/atom: -3.7948
DFT formation energy in meV per atom: -432

=====

| no. | magnetization (μB/cell) |
| --- | --- |
| 1 | 0.003 |
| 2 | 0.000 |